# Pr3Ga4Pt PBE-GGA optimized geometry
# - energy relative to the elements (eV/atom) = -0.573
# - density (g/cm3) = 7.24
# - crystal system = orthorhombic
data_Pr3Ga4Pt
_chemical_formula_sum 'Pr6 Ga8 Pt2'
_cell_length_a 4.729
_cell_length_b 6.749
_cell_length_c 12.883
_cell_angle_alpha 90.00
_cell_angle_beta 90.00
_cell_angle_gamma 90.00
_symmetry_space_group_name_H-M 'I m m m'
_symmetry_Int_Tables_number 71
_symmetry_space_group_name_Hall '-I 2 2'
loop_
_atom_site_label
_atom_site_fract_x
_atom_site_fract_y
_atom_site_fract_z
Pr1 0.000 0.000 0.000
Pr2 0.000 0.500 0.174
Ga1 0.000 0.297 0.382
Pt1 0.000 0.000 0.500